Here is a relaxed structure of RbCdSn2Au from the Alexandria database. Energies are from PBE.

## Properties
E, eV/atom: -2.81
Space group: I-4m2
DOS(E_F), states/eV per cell: 3.01
Total moment, μB per cell: 0.00

Unit cell a=6.895 b=6.895 c=6.895 alpha=137.52 beta=137.52 gamma=61.64
Fractional coordinates of all 5 atoms:
1 Rb 0.000 0.000 0.000
2 Cd 0.250 0.750 0.500
3 Sn 0.374 0.374 0.000
4 Sn 0.626 0.626 0.000
5 Au 0.750 0.250 0.500



Here is a relaxed structure of Rb2Cd3SnAu4 from the Alexandria database. Energies are from PBE.

## Properties
E, eV/atom: -2.41
Space group: P-4m2
DOS(E_F), states/eV per cell: 3.13
Total moment, μB per cell: 0.00

Unit cell a=5.013 b=5.013 c=11.112 alpha=90.00 beta=90.00 gamma=90.00
Fractional coordinates of all 10 atoms:
1 Rb 0.000 0.500 0.238
2 Rb 0.500 0.000 0.762
3 Cd 0.000 0.500 0.873
4 Cd 0.500 0.000 0.127
5 Cd 0.500 0.500 0.500
6 Sn 0.000 0.000 0.500
7 Au 0.000 0.000 0.000
8 Au 0.000 0.500 0.618
9 Au 0.500 0.000 0.382
10 Au 0.500 0.500 0.000



Here is a relaxed structure of Rb2Cd3Sn4Au from the Alexandria database. Energies are from PBE.

## Properties
E, eV/atom: -2.55
Space group: P-4m2
DOS(E_F), states/eV per cell: 3.79
Total moment, μB per cell: 0.00

Unit cell a=4.967 b=4.967 c=12.288 alpha=90.00 beta=90.00 gamma=90.00
Fractional coordinates of all 10 atoms:
1 Rb 0.000 0.500 0.241
2 Rb 0.500 0.000 0.759
3 Cd 0.000 0.000 0.000
4 Cd 0.000 0.500 0.642
5 Cd 0.500 0.000 0.358
6 Sn 0.000 0.000 0.500
7 Sn 0.000 0.500 0.880
8 Sn 0.500 0.000 0.120
9 Sn 0.500 0.500 0.500
10 Au 0.500 0.500 0.000



Here is a relaxed structure of Rb2TlCd4Au3 from the Alexandria database. Energies are from PBE.

## Properties
E, eV/atom: -1.96
Space group: P-4m2
DOS(E_F), states/eV per cell: 2.51
Total moment, μB per cell: 0.00

Unit cell a=4.889 b=4.889 c=12.110 alpha=90.00 beta=90.00 gamma=90.00
Fractional coordinates of all 10 atoms:
1 Rb 0.000 0.500 0.243
2 Rb 0.500 0.000 0.757
3 Tl 0.000 0.000 0.500
4 Cd 0.000 0.000 0.000
5 Cd 0.000 0.500 0.643
6 Cd 0.500 0.000 0.357
7 Cd 0.500 0.500 0.000
8 Au 0.000 0.500 0.873
9 Au 0.500 0.000 0.127
10 Au 0.500 0.500 0.500